This record from the Alexandria database describes a relaxed structure of Sr3GaAs3. The functional is PBE.

The total energy is -4.1664 eV/atom. The calculation puts the total magnetization at 0.00 μB/f.u. The calculation puts the formation energy at -1.021 eV/atom.

The space group is Pnma (No. 62) and the conventional cell measures 12.869, 19.468 and 6.558 Å, with angles of 90.00, 90.00 and 90.00 degrees. Symmetry generates all atoms from Sr at (0.012, 0.074, 0.223), Sr at (0.019, 0.250, 0.830), Sr at (0.233, 0.250, 0.312), Sr at (0.236, 0.073, 0.692), Ga at (0.126, 0.663, 0.486), As at (0.010, 0.590, 0.266), As at (0.016, 0.750, 0.687), As at (0.235, 0.750, 0.290) and As at (0.242, 0.589, 0.707).

---

This record from the Alexandria database describes a relaxed structure of Sr2GaAs2. The functional is PBE.

The total energy is -3.6686 eV/atom. The calculation puts the total magnetization at 0.00 μB/f.u. The calculation puts the formation energy at -0.531 eV/atom. For the energy above the most stable polymorph in this dataset, the calculation gives 260.5 meV per atom.

The space group is P4/mbm (No. 127) and the conventional cell measures 8.925, 8.925 and 3.625 Å, with angles of 90.00, 90.00 and 90.00 degrees. Symmetry generates all atoms from Sr at (0.138, 0.362, 0.000), Ga at (0.000, 0.000, 0.000) and As at (0.165, 0.665, 0.500).

---

This record from the Alexandria database describes a relaxed structure of SrGaAs3. The functional is PBE.

The total energy is -3.7915 eV/atom. The calculation puts the total magnetization at 0.00 μB/f.u. The calculation puts the formation energy at -0.060 eV/atom. For the energy above the most stable polymorph in this dataset, the calculation gives 0.0 meV per atom.

The space group is Pm-3m (No. 221) and the conventional cell measures 5.034, 5.034 and 5.034 Å, with angles of 90.00, 90.00 and 90.00 degrees. Symmetry generates all atoms from Sr at (0.000, 0.000, 0.000), Ga at (0.500, 0.500, 0.500) and As at (0.000, 0.500, 0.500).

---

This record from the Alexandria database describes a relaxed structure of Sr2GaAs2. The functional is PBE.

The total energy is -3.9291 eV/atom. The calculation puts the total magnetization at 0.00 μB/f.u. The calculation puts the formation energy at -0.791 eV/atom. For the energy above the most stable polymorph in this dataset, the calculation gives 0.0 meV per atom.

The space group is P4/mbm (No. 127) and the conventional cell measures 7.803, 7.803 and 4.475 Å, with angles of 90.00, 90.00 and 90.00 degrees. Symmetry generates all atoms from Sr at (0.181, 0.319, 0.000), Ga at (0.000, 0.000, 0.500) and As at (0.115, 0.615, 0.500).

---

This record from the Alexandria database describes a relaxed structure of SrGaAs2. The functional is PBE.

The total energy is -4.0680 eV/atom. The calculation puts the total magnetization at 0.00 μB/f.u. The calculation puts the formation energy at -0.566 eV/atom.

The space group is I-42d (No. 122) and the conventional cell measures 7.451, 7.451 and 7.471 Å, with angles of 90.00, 90.00 and 90.00 degrees. Symmetry generates all atoms from Sr at (0.000, 0.000, 0.000), Ga at (0.000, 0.000, 0.500) and As at (0.179, 0.250, 0.625).

---

This record from the Alexandria database describes a relaxed structure of SrGaAs2. The functional is PBE.

The total energy is -4.1016 eV/atom. The calculation puts the total magnetization at 0.00 μB/f.u. The calculation puts the formation energy at -0.600 eV/atom.

The space group is P2/c (No. 13) and the conventional cell measures 6.262, 6.569 and 11.638 Å, with angles of 90.00, 114.69 and 90.00 degrees. Symmetry generates all atoms from Sr at (0.161, 0.244, 0.128), Ga at (0.314, 0.402, 0.884), As at (0.110, 0.241, 0.674) and As at (0.383, 0.227, 0.430).